Density functional theory data (GGA-PBE) for an optimized crystal structure of Zr3Cd3Co.

Values from the calculation:
size of the total moment	0.0	μB/cell
space group	No. 227
energy of formation	-0.12	eV/atom

Cell and atoms, written as POSCAR:
```
Zr3Cd3Co
1.0
0.000 6.637 6.637
6.637 0.000 6.637
6.637 6.637 0.000
Zr Cd Co
12 12 4
Direct
0.072 0.072 0.678
0.072 0.678 0.072
0.072 0.678 0.678
0.322 0.322 0.928
0.322 0.928 0.322
0.322 0.928 0.928
0.678 0.072 0.072
0.678 0.072 0.678
0.678 0.678 0.072
0.928 0.322 0.322
0.928 0.322 0.928
0.928 0.928 0.322
0.000 0.500 0.500
0.288 0.288 0.288
0.288 0.288 0.637
0.288 0.637 0.288
0.363 0.712 0.712
0.500 0.000 0.500
0.500 0.500 0.000
0.500 0.500 0.500
0.637 0.288 0.288
0.712 0.363 0.712
0.712 0.712 0.363
0.712 0.712 0.712
0.000 0.000 0.000
0.000 0.000 0.500
0.000 0.500 0.000
0.500 0.000 0.000
```

***

Density functional theory data (GGA-PBE) for an optimized crystal structure of Pm3Nd2ErTm6.

Values from the calculation:
size of the total moment	0.0	μB/cell
space group	No. 12
energy of formation	0.02	eV/atom

Cell and atoms, written as POSCAR:
```
Pm3Nd2ErTm6
1.0
3.090 -5.351 0.000
3.090 5.351 0.000
-2.053 0.000 11.528
Pm Nd Er Tm
3 2 1 6
Direct
0.000 0.000 0.000
0.333 0.667 0.000
0.667 0.333 0.000
0.166 0.834 0.500
0.834 0.166 0.500
0.500 0.500 0.500
0.084 0.417 0.250
0.251 0.251 0.750
0.417 0.084 0.250
0.583 0.916 0.750
0.749 0.749 0.250
0.916 0.583 0.750
```

***

Density functional theory data (GGA-PBE) for an optimized crystal structure of Mg2CuSb.

Values from the calculation:
size of the total moment	0.0	μB/cell
uncorrected formation energy	0.021	eV/atom
space group	No. 166

Cell and atoms, written as POSCAR:
```
Mg2CuSb
1.0
1.649 0.952 8.860
-1.649 0.952 8.860
0.000 -1.904 8.860
Mg Cu Sb
2 1 1
Direct
0.240 0.240 0.240
0.760 0.760 0.760
0.500 0.500 0.500
0.000 0.000 0.000
```

***

Density functional theory data (GGA-PBE) for an optimized crystal structure of BaCaH2Au.

Values from the calculation:
size of the total moment	0.0	μB/cell
electronic total energy	-0.23285	Ry per atom
space group	No. 123

Cell and atoms, written as POSCAR:
```
BaCaH2Au
1.0
4.632 0.000 0.000
0.000 4.632 0.000
0.000 0.000 5.753
Ba Ca H Au
1 1 2 1
Direct
0.000 0.000 0.000
0.500 0.500 0.500
0.000 0.500 0.500
0.500 0.000 0.500
0.500 0.500 0.000
```

***

Density functional theory data (GGA-PBE) for an optimized crystal structure of PmInCo.

Values from the calculation:
size of the total moment	0.8	μB/cell
excess energy over the best structure of this formula in the dataset	13	meV/atom
space group	No. 2
energy of formation	-0.28	eV/atom

Cell and atoms, written as POSCAR:
```
PmInCo
1.0
4.264 0.000 0.000
2.129 5.177 0.000
2.127 0.867 5.889
Pm In Co
2 2 2
Direct
0.071 0.187 0.170
0.929 0.813 0.830
0.316 0.280 0.589
0.684 0.720 0.411
0.374 0.587 0.162
0.626 0.413 0.838
```

***

Density functional theory data (GGA-PBE) for an optimized crystal structure of NdGa2Ru.

Values from the calculation:
size of the total moment	0.0	μB/cell
space group	No. 15
energy of formation	-0.51	eV/atom

Cell and atoms, written as POSCAR:
```
NdGa2Ru
1.0
3.030 -5.643 0.000
3.030 5.643 0.000
-2.473 0.000 4.786
Nd Ga Ru
2 4 2
Direct
0.132 0.868 0.750
0.868 0.132 0.250
0.289 0.485 0.945
0.485 0.289 0.445
0.515 0.711 0.555
0.711 0.515 0.055
0.217 0.783 0.250
0.783 0.217 0.750
```